YMg2Ru | GGA-PBE | relaxed

The structure in POSCAR format:
```
YMg2Ru
1.0
5.374 0.000 0.000
0.000 8.316 0.000
0.000 0.000 15.415
Y Mg Ru
8 16 8
direct
0.446 0.250 0.139 Y
0.946 0.750 0.361 Y
0.554 0.750 0.861 Y
0.054 0.250 0.639 Y
0.750 0.250 0.391 Y
0.250 0.750 0.109 Y
0.250 0.750 0.609 Y
0.750 0.250 0.891 Y
0.953 0.057 0.211 Mg
0.453 0.943 0.289 Mg
0.047 0.557 0.789 Mg
0.547 0.443 0.711 Mg
0.047 0.943 0.789 Mg
0.547 0.057 0.711 Mg
0.953 0.443 0.211 Mg
0.453 0.557 0.289 Mg
0.765 0.559 0.040 Mg
0.265 0.441 0.460 Mg
0.235 0.059 0.960 Mg
0.735 0.941 0.540 Mg
0.235 0.441 0.960 Mg
0.735 0.559 0.540 Mg
0.765 0.941 0.040 Mg
0.265 0.059 0.460 Mg
0.248 0.250 0.313 Ru
0.748 0.750 0.187 Ru
0.752 0.750 0.687 Ru
0.252 0.250 0.813 Ru
0.944 0.250 0.065 Ru
0.444 0.750 0.435 Ru
0.056 0.750 0.935 Ru
0.556 0.250 0.565 Ru
```

Values from the calculation:
Space group: Pnma
Size of the total moment, μB/cell: 0.0
Total DFT energy (no corrections), eV per atom: -4.916
DOS at the Fermi energy, states/eV/cell: 20.745

YMgRu2 | GGA-PBE | relaxed

The structure in POSCAR format:
```
YMgRu2
1.0
5.300 -0.009 0.002
-1.917 4.941 0.002
0.680 0.992 2.708
Mg Ru Y
1 2 1
direct
0.000 0.500 0.500 Mg
0.000 0.000 0.000 Ru
0.500 0.500 0.000 Ru
0.500 0.000 0.500 Y
```

Values from the calculation:
Space group: C2/m
Size of the total moment, μB/cell: 0.0
Total DFT energy (no corrections), eV per atom: -6.512
DOS at the Fermi energy, states/eV/cell: 3.829

YMgRu2 | GGA-PBE | relaxed

The structure in POSCAR format:
```
YMgRu2
1.0
2.989 -0.015 0.000
-1.115 2.774 0.000
0.000 0.000 8.576
Mg Ru Y
1 2 1
direct
0.500 0.500 0.750 Mg
0.000 0.000 0.994 Ru
0.000 0.000 0.506 Ru
0.500 0.500 0.250 Y
```

Values from the calculation:
Space group: Cmmm
Size of the total moment, μB/cell: 0.0
Total DFT energy (no corrections), eV per atom: -6.464
DOS at the Fermi energy, states/eV/cell: 3.504

YMg2Ru | GGA-PBE | relaxed

The structure in POSCAR format:
```
YMg2Ru
1.0
5.737 0.022 0.009
2.425 5.200 -0.009
-3.468 -3.570 2.854
Mg Ru Y
2 1 1
direct
0.994 0.994 0.000 Mg
0.714 0.214 0.500 Mg
0.505 0.505 0.000 Ru
0.287 0.787 0.500 Y
```

Values from the calculation:
Space group: Imm2
Size of the total moment, μB/cell: 0.0
Total DFT energy (no corrections), eV per atom: -4.732
DOS at the Fermi energy, states/eV/cell: 2.867

YMgRu2 | GGA-PBE | relaxed

The structure in POSCAR format:
```
YMgRu2
1.0
3.394 0.000 0.000
0.000 3.394 0.000
0.000 0.000 6.267
Mg Ru Y
1 2 1
direct
0.500 0.500 0.750 Mg
0.000 0.000 0.960 Ru
0.000 0.000 0.540 Ru
0.500 0.500 0.250 Y
```

Values from the calculation:
Space group: P4/mmm
Size of the total moment, μB/cell: 1.2
Total DFT energy (no corrections), eV per atom: -6.654
DOS at the Fermi energy, states/eV/cell: 4.601

YMg2Ru | GGA-PBE | relaxed

The structure in POSCAR format:
```
YMg2Ru
1.0
0.000 3.405 3.405
3.405 0.000 3.405
3.405 3.405 0.000
Y Ru Mg
1 1 2
direct
0.000 0.000 0.000 Y
0.500 0.500 0.500 Ru
0.250 0.250 0.250 Mg
0.750 0.750 0.750 Mg
```

Values from the calculation:
Space group: Fm-3m
Size of the total moment, μB/cell: 0.0
Total DFT energy (no corrections), eV per atom: -4.670
DOS at the Fermi energy, states/eV/cell: 6.325

YMg2Ru | GGA-PBE | relaxed

The structure in POSCAR format:
```
YMg2Ru
1.0
5.287 0.007 -0.001
4.178 3.241 -0.001
2.824 0.969 5.263
Mg Ru Y
2 1 1
direct
0.022 0.022 0.003 Mg
0.809 0.809 0.766 Mg
0.470 0.470 0.378 Ru
0.198 0.198 0.353 Y
```

Values from the calculation:
Space group: Cm
Size of the total moment, μB/cell: 0.0
Total DFT energy (no corrections), eV per atom: -4.786
DOS at the Fermi energy, states/eV/cell: 1.506

YMg2Ru | GGA-PBE | relaxed

The structure in POSCAR format:
```
YMg2Ru
1.0
5.962 0.000 -0.011
-3.329 4.945 -0.011
0.768 1.444 2.837
Mg Ru Y
2 1 1
direct
0.000 0.000 0.000 Mg
0.500 0.500 0.000 Mg
0.500 0.000 0.500 Ru
0.000 0.500 0.500 Y
```

Values from the calculation:
Space group: C2/m
Size of the total moment, μB/cell: 0.1
Total DFT energy (no corrections), eV per atom: -4.601
DOS at the Fermi energy, states/eV/cell: 3.252

YMgRu2 | GGA-PBE | relaxed

The structure in POSCAR format:
```
YMgRu2
1.0
-0.848 -0.356 -5.352
4.071 -1.705 -3.164
-2.468 -1.591 4.568
Mg Ru Y
1 2 1
direct
0.750 0.250 0.500 Mg
0.000 0.000 0.000 Ru
0.250 0.750 0.500 Ru
0.500 0.500 0.000 Y
```

Values from the calculation:
Space group: I-4m2
Size of the total moment, μB/cell: 0.5
Total DFT energy (no corrections), eV per atom: -6.547
DOS at the Fermi energy, states/eV/cell: 4.367

Y7Mg2Ru2 | GGA-PBE | relaxed

The structure in POSCAR format:
```
Y7Mg2Ru2
1.0
-5.886 -0.005 -3.458
-2.033 -6.035 3.470
-0.976 3.612 5.710
Y Mg Ru
7 2 2
direct
0.000 0.247 0.500 Y
0.500 0.753 0.000 Y
0.000 0.753 0.500 Y
0.500 0.247 0.000 Y
0.000 0.000 0.000 Y
0.500 0.764 0.500 Y
0.500 0.236 0.500 Y
0.827 0.500 0.827 Mg
0.173 0.500 0.173 Mg
0.709 0.000 0.291 Ru
0.291 0.000 0.709 Ru
```

Values from the calculation:
Space group: Cmmm
Size of the total moment, μB/cell: 0.0
Total DFT energy (no corrections), eV per atom: -6.159
DOS at the Fermi energy, states/eV/cell: 10.102

YMgRu2 | GGA-PBE | relaxed

The structure in POSCAR format:
```
YMgRu2
1.0
7.318 0.000 0.000
0.000 7.318 0.000
3.659 3.659 2.854
Y Ru Mg
2 4 2
direct
0.000 0.000 0.000 Y
0.750 0.250 0.500 Y
0.603 0.125 0.250 Ru
0.147 0.625 0.250 Ru
0.375 0.397 0.750 Ru
0.875 0.853 0.750 Ru
0.500 0.500 0.000 Mg
0.250 0.750 0.500 Mg
```

Values from the calculation:
Space group: I-42d
Size of the total moment, μB/cell: 3.2
Total DFT energy (no corrections), eV per atom: -6.188
DOS at the Fermi energy, states/eV/cell: 9.296

YMg2Ru | GGA-PBE | relaxed

The structure in POSCAR format:
```
YMg2Ru
1.0
10.151 0.016 0.009
9.670 3.087 0.009
9.670 1.513 2.690
Mg Ru Y
2 1 1
direct
0.985 0.985 0.985 Mg
0.515 0.515 0.515 Mg
0.250 0.250 0.250 Ru
0.750 0.750 0.750 Y
```

Values from the calculation:
Space group: R-3m
Size of the total moment, μB/cell: 0.0
Total DFT energy (no corrections), eV per atom: -4.511
DOS at the Fermi energy, states/eV/cell: 3.654